No. 1
Below is an optimized crystal structure of Sn2RuSI, with properties calculated at the PBE-GGA level.

Properties
- space-group type = No. 123
- formation energy from raw total energies (eV per atom) = 1.11
- Fermi-level density of states (states/eV per atom) = 0.6795

The structure in POSCAR format:
```
Sn2RuSI
1.0
5.270 0.000 0.000
0.000 5.270 0.000
0.000 0.000 5.469
Sn Ru S I
2 1 1 1
direct
0.000 0.500 0.000
0.500 0.000 0.000
0.000 0.000 0.500
0.500 0.500 0.000
0.500 0.500 0.500
```


No. 2
Below is an optimized crystal structure of Mg2AlPt, with properties calculated at the PBE-GGA level.

Properties
- space-group type = No. 160
- energy relative to the elements (meV/atom) = -327
- Fermi-level density of states (states/eV per atom) = 0.3889

The structure in POSCAR format:
```
Mg2AlPt
1.0
1.529 0.883 9.084
-1.529 0.883 9.084
0.000 -1.766 9.084
Mg Al Pt
2 1 1
direct
0.000 0.000 0.000
0.234 0.234 0.234
0.753 0.753 0.753
0.489 0.489 0.489
```